Computed, not measured: TaZn2Mo after structural relaxation at the GGA-PBE level of DFT.

The formation enthalpy at 0 K comes out at 0.02 eV/atom. The value obtained for the size of the total moment is 0.00 μB/f.u. The calculation puts the volume at 15.56 Å³/atom. The value obtained for the distance to the lowest polymorph of the same formula is 8 meV/atom. The density of states at the Fermi level comes out at 1.165 states/eV per cell.

The structure in extended XYZ format:
```
4
Lattice="3.768 0.000 0.000 0.000 3.889 0.000 0.000 0.000 4.248" Properties=species:S:1:pos:R:3 pbc="T T T"
Ta 0.000 0.000 0.000
Zn 0.000 1.944 2.124
Zn 1.884 0.000 2.124
Mo 1.884 1.944 0.000
```